# 1
A PBEsol-optimized structure of ZnPt3, computed with SCAN.

It has space group Pnma (No. 62), with a = 4.7480 Å, b = 9.0355 Å, c = 5.4334 Å, α = 90.00°, β = 90.00° and γ = 90.00°. The inequivalent atoms are Zn at (0.0850, 0.2500, 0.1110), Pt at (0.0880, 0.2500, 0.6049) and Pt at (0.2482, 0.5006, 0.8701).

Its raw total energy is -56.339 eV per atom. Its formation energy from the elements is -0.315 eV per atom.

=====

# 2
A PBEsol-optimized structure of ZnPt, computed with SCAN.

It has space group Cm (No. 8), with a = 10.3315 Å, b = 2.7917 Å, c = 6.1442 Å, α = 90.00°, β = 105.27° and γ = 90.00°. The inequivalent atoms are Zn at (0.0000, 0.0000, 0.0000), Zn at (0.0433, 0.0000, 0.5828), Zn at (0.2188, 0.5000, 0.9302), Pt at (0.1607, 0.5000, 0.3188), Pt at (0.3371, 0.0000, 0.6825) and Pt at (0.3822, 0.0000, 0.2554).

Its raw total energy is -42.266 eV per atom. Its formation energy from the elements is -0.412 eV per atom.

=====

# 3
A PBEsol-optimized structure of Zn3Pt, computed with SCAN.

It has space group Pnma (No. 62), with a = 6.0329 Å, b = 8.2136 Å, c = 4.9612 Å, α = 90.00°, β = 90.00° and γ = 90.00°. The inequivalent atoms are Zn at (0.0131, 0.2500, 0.1131), Zn at (0.1760, 0.5290, 0.3704) and Pt at (0.1354, 0.2500, 0.6058).

Its raw total energy is -28.088 eV per atom. Its formation energy from the elements is -0.404 eV per atom.

=====

# 4
A PBEsol-optimized structure of ZnPt3, computed with SCAN.

It has space group R-3m (No. 166, hexagonal axes), with a = 2.7597 Å, b = 2.7597 Å, c = 26.4533 Å, α = 90.00°, β = 90.00° and γ = 120.00°. The inequivalent atoms are Zn at (0.0000, 0.0000, 0.0000), Pt at (0.0000, 0.0000, 0.2551) and Pt at (0.0000, 0.0000, 0.5000).

Its raw total energy is -56.277 eV per atom. Its formation energy from the elements is -0.254 eV per atom.

=====

# 5
A PBEsol-optimized structure of ZnPt3, computed with SCAN.

It has space group Imm2 (No. 44), with a = 2.7361 Å, b = 9.0778 Å, c = 4.6982 Å, α = 90.00°, β = 90.00° and γ = 90.00°. The inequivalent atoms are Zn at (0.0000, 0.0000, 0.0000), Pt at (0.0000, 0.2556, 0.3523) and Pt at (0.0000, 0.5000, 0.9958).

Its raw total energy is -56.293 eV per atom. Its formation energy from the elements is -0.269 eV per atom.

=====

# 6
A PBEsol-optimized structure of Zn3Pt, computed with SCAN.

It has space group Pmm2 (No. 25), with a = 2.7642 Å, b = 4.3272 Å, c = 4.6463 Å, α = 90.00°, β = 90.00° and γ = 90.00°. The inequivalent atoms are Zn at (0.0000, 0.0000, 0.0000), Zn at (0.0000, 0.5000, 0.3337), Zn at (0.5000, 0.5000, 0.8339) and Pt at (0.5000, 0.0000, 0.5028).

Its raw total energy is -28.046 eV per atom. Its formation energy from the elements is -0.362 eV per atom.